A relaxed structure of MnRu2Pt. Source: Alexandria, functional PBE-GGA.

* V: 14.1 Å³ per atom
* raw total energy: -8.4053 eV per atom
* D(E_F): 4.73 states/eV/cell
* space-group type: No. 65

a = 4.678 Å, b = 4.678 Å, c = 2.737 Å
α = 90.00°, β = 90.00°, γ = 109.33°
Element x y z (fractional)
Mn 0.500 0.000 0.500
Pt 0.000 0.500 0.500
Ru 0.000 0.000 0.000
Ru 0.500 0.500 0.000